No. 1
{"formula": "PmInPt", "functional": "PBE", "state": "optimized geometry", "rho_g_cm3": 9.699, "polymorph_energy_ev_per_atom": 0.149, "crystal_system": "trigonal", "lattice_angstrom": [[2.4913, 1.4384, 7.2448], [-2.4913, 1.4384, 7.2448], [0.0000, -2.8767, 7.2448]], "species": ["Pm", "Pm", "In", "In", "Pt", "Pt"], "fractional_positions": [[0.1147, 0.1147, 0.1147], [0.8853, 0.8853, 0.8853], [0.3766, 0.3766, 0.3766], [0.6234, 0.6234, 0.6234], [0.2496, 0.2496, 0.2496], [0.7504, 0.7504, 0.7504]]}

---

No. 2
{"formula": "Pt2W", "functional": "PBE", "state": "optimized geometry", "rho_g_cm3": 16.500, "polymorph_energy_ev_per_atom": 0.699, "crystal_system": "tetragonal", "lattice_angstrom": [[4.5810, 0.0000, 0.0000], [0.0000, 4.5810, 0.0000], [0.0000, 0.0000, 2.7526]], "species": ["Pt", "Pt", "W"], "fractional_positions": [[0.0000, 0.5000, 0.0000], [0.5000, 0.0000, 0.0000], [0.0000, 0.0000, 0.5000]]}

---

No. 3
{"formula": "NdRe4N12", "functional": "PBE", "state": "optimized geometry", "formation_energy_uncorrected_ev_per_atom": 0.504, "rho_g_cm3": 9.930, "crystal_system": "cubic", "lattice_angstrom": [[-3.5356, 3.5356, 3.5356], [3.5356, -3.5356, 3.5356], [3.5356, 3.5356, -3.5356]], "species": ["Nd", "Re", "Re", "Re", "Re", "N", "N", "N", "N", "N", "N", "N", "N", "N", "N", "N", "N"], "fractional_positions": [[0.0000, 0.0000, 0.0000], [0.0000, 0.0000, 0.5000], [0.0000, 0.5000, 0.0000], [0.5000, 0.0000, 0.0000], [0.5000, 0.5000, 0.5000], [0.0967, 0.3249, 0.4216], [0.0967, 0.6751, 0.7718], [0.2282, 0.9033, 0.3249], [0.3249, 0.2282, 0.9033], [0.3249, 0.4216, 0.0967], [0.4216, 0.0967, 0.3249], [0.5784, 0.9033, 0.6751], [0.6751, 0.5784, 0.9033], [0.6751, 0.7718, 0.0967], [0.7718, 0.0967, 0.6751], [0.9033, 0.3249, 0.2282], [0.9033, 0.6751, 0.5784]]}

---

No. 4
{"formula": "PrNbAs3", "functional": "PBE", "state": "optimized geometry", "rho_g_cm3": 6.947, "crystal_system": "orthorhombic", "dft_energy_ev_per_cell": -131.33, "lattice_angstrom": [[12.7900, 0.0000, 0.0000], [0.0000, 5.8761, 0.0000], [0.0000, 0.0000, 5.8344]], "species": ["Pr", "Pr", "Pr", "Pr", "Nb", "Nb", "Nb", "Nb", "As", "As", "As", "As", "As", "As", "As", "As", "As", "As", "As", "As"], "fractional_positions": [[0.1832, 0.0048, 0.2500], [0.1832, 0.4952, 0.7500], [0.8168, 0.5048, 0.2500], [0.8168, 0.9952, 0.7500], [0.4178, 0.7500, 0.0000], [0.4178, 0.7500, 0.5000], [0.5822, 0.2500, 0.0000], [0.5822, 0.2500, 0.5000], [0.0015, 0.7500, 0.0000], [0.0015, 0.7500, 0.5000], [0.2797, 0.5053, 0.2500], [0.2797, 0.9947, 0.7500], [0.4192, 0.1236, 0.2500], [0.4192, 0.3764, 0.7500], [0.5808, 0.6236, 0.2500], [0.5808, 0.8764, 0.7500], [0.7203, 0.0053, 0.2500], [0.7203, 0.4947, 0.7500], [0.9985, 0.2500, 0.0000], [0.9985, 0.2500, 0.5000]]}

---

No. 5
{"formula": "Tb5Th3H12", "functional": "PBE", "state": "optimized geometry", "rho_g_cm3": 8.480, "crystal_system": "cubic", "dft_energy_ev_per_cell": -378.95, "lattice_angstrom": [[-6.6516, 6.6516, 6.6516], [6.6516, -6.6516, 6.6516], [6.6516, 6.6516, -6.6516]], "species": ["Tb", "Tb", "Tb", "Tb", "Tb", "Tb", "Tb", "Tb", "Tb", "Tb", "Tb", "Tb", "Tb", "Tb", "Tb", "Tb", "Tb", "Tb", "Tb", "Tb", "Th", "Th", "Th", "Th", "Th", "Th", "Th", "Th", "Th", "Th", "Th", "Th", "H", "H", "H", "H", "H", "H", "H", "H", "H", "H", "H", "H", "H", "H", "H", "H", "H", "H", "H", "H", "H", "H", "H", "H", "H", "H", "H", "H", "H", "H", "H", "H", "H", "H", "H", "H", "H", "H", "H", "H", "H", "H", "H", "H", "H", "H", "H", "H"], "fractional_positions": [[0.0000, 0.0000, 0.0000], [0.0000, 0.0000, 0.5000], [0.0000, 0.5000, 0.0000], [0.0000, 0.5000, 0.5000], [0.1250, 0.7500, 0.8750], [0.1250, 0.8750, 0.2500], [0.2500, 0.1250, 0.8750], [0.2500, 0.6250, 0.3750], [0.3750, 0.2500, 0.6250], [0.3750, 0.6250, 0.7500], [0.5000, 0.0000, 0.0000], [0.5000, 0.0000, 0.5000], [0.5000, 0.5000, 0.0000], [0.5000, 0.5000, 0.5000], [0.6250, 0.3750, 0.2500], [0.6250, 0.7500, 0.3750], [0.7500, 0.3750, 0.6250], [0.7500, 0.8750, 0.1250], [0.8750, 0.1250, 0.7500], [0.8750, 0.2500, 0.1250], [0.1250, 0.2500, 0.3750], [0.1250, 0.3750, 0.7500], [0.2500, 0.3750, 0.1250], [0.2500, 0.8750, 0.6250], [0.3750, 0.1250, 0.2500], [0.3750, 0.7500, 0.1250], [0.6250, 0.2500, 0.8750], [0.6250, 0.8750, 0.7500], [0.7500, 0.1250, 0.3750], [0.7500, 0.6250, 0.8750], [0.8750, 0.6250, 0.2500], [0.8750, 0.7500, 0.6250], [0.0668, 0.2242, 0.1481], [0.0668, 0.3427, 0.9187], [0.0760, 0.7242, 0.6573], [0.0760, 0.8519, 0.4187], [0.0813, 0.6481, 0.4240], [0.0813, 0.9332, 0.6573], [0.1481, 0.0668, 0.2242], [0.1481, 0.5813, 0.9240], [0.1573, 0.2242, 0.5760], [0.1573, 0.4332, 0.5813], [0.2242, 0.1481, 0.0668], [0.2242, 0.5760, 0.1573], [0.2758, 0.3427, 0.9240], [0.2758, 0.4332, 0.3519], [0.3427, 0.9187, 0.0668], [0.3427, 0.9240, 0.2758], [0.3519, 0.2758, 0.4332], [0.3519, 0.5760, 0.9187], [0.4187, 0.0760, 0.8519], [0.4187, 0.8427, 0.5668], [0.4240, 0.0813, 0.6481], [0.4240, 0.8427, 0.7758], [0.4332, 0.3519, 0.2758], [0.4332, 0.5813, 0.1573], [0.5668, 0.4187, 0.8427], [0.5668, 0.6481, 0.7242], [0.5760, 0.1573, 0.2242], [0.5760, 0.9187, 0.3519], [0.5813, 0.1573, 0.4332], [0.5813, 0.9240, 0.1481], [0.6481, 0.4240, 0.0813], [0.6481, 0.7242, 0.5668], [0.6573, 0.0760, 0.7242], [0.6573, 0.0813, 0.9332], [0.7242, 0.5668, 0.6481], [0.7242, 0.6573, 0.0760], [0.7758, 0.4240, 0.8427], [0.7758, 0.8519, 0.9332], [0.8427, 0.5668, 0.4187], [0.8427, 0.7758, 0.4240], [0.8519, 0.4187, 0.0760], [0.8519, 0.9332, 0.7758], [0.9187, 0.0668, 0.3427], [0.9187, 0.3519, 0.5760], [0.9240, 0.1481, 0.5813], [0.9240, 0.2758, 0.3427], [0.9332, 0.6573, 0.0813], [0.9332, 0.7758, 0.8519]]}

---

No. 6
{"formula": "KRbTl2Ir", "functional": "PBE", "state": "optimized geometry", "rho_g_cm3": 6.773, "crystal_system": "tetragonal", "dft_energy_ev_per_cell": -15.16, "lattice_angstrom": [[5.3557, 0.0000, 0.0000], [0.0000, 5.3557, 0.0000], [0.0000, 0.0000, 6.2015]], "species": ["K", "Rb", "Tl", "Tl", "Ir"], "fractional_positions": [[0.0000, 0.0000, 0.0000], [0.5000, 0.5000, 0.0000], [0.0000, 0.5000, 0.5000], [0.5000, 0.0000, 0.5000], [0.0000, 0.0000, 0.5000]]}

---

No. 7
{"formula": "Ca2MgSi2Rh5", "functional": "PBE", "state": "optimized geometry", "formation_energy_uncorrected_ev_per_atom": -0.763, "rho_g_cm3": 6.733, "crystal_system": "tetragonal", "lattice_angstrom": [[10.0849, 0.0000, 0.0000], [0.0000, 10.0849, 0.0000], [0.0000, 0.0000, 3.2745]], "species": ["Ca", "Ca", "Ca", "Ca", "Mg", "Mg", "Si", "Si", "Si", "Si", "Rh", "Rh", "Rh", "Rh", "Rh", "Rh", "Rh", "Rh", "Rh", "Rh"], "fractional_positions": [[0.1735, 0.3265, 0.0000], [0.3265, 0.8265, 0.0000], [0.6735, 0.1735, 0.0000], [0.8265, 0.6735, 0.0000], [0.0000, 0.0000, 0.0000], [0.5000, 0.5000, 0.0000], [0.1270, 0.6270, 0.0000], [0.3730, 0.1270, 0.0000], [0.6270, 0.8730, 0.0000], [0.8730, 0.3730, 0.0000], [0.0000, 0.5000, 0.5000], [0.0683, 0.7859, 0.5000], [0.2141, 0.0683, 0.5000], [0.2859, 0.5683, 0.5000], [0.4317, 0.2859, 0.5000], [0.5000, 0.0000, 0.5000], [0.5683, 0.7141, 0.5000], [0.7141, 0.4317, 0.5000], [0.7859, 0.9317, 0.5000], [0.9317, 0.2141, 0.5000]]}

---

No. 8
{"formula": "Pm3Sm4Ru4", "functional": "PBE", "state": "optimized geometry", "rho_g_cm3": 8.738, "crystal_system": "orthorhombic", "dft_energy_ev_per_cell": -72.03, "lattice_angstrom": [[-1.8229, 4.5437, 8.2641], [1.8229, -4.5437, 8.2641], [1.8229, 4.5437, -8.2641]], "species": ["Pm", "Pm", "Pm", "Sm", "Sm", "Sm", "Sm", "Ru", "Ru", "Ru", "Ru"], "fractional_positions": [[0.0000, 0.0000, 0.0000], [0.4028, 0.9028, 0.5000], [0.5972, 0.0972, 0.5000], [0.0249, 0.3350, 0.6900], [0.3550, 0.6650, 0.6900], [0.6450, 0.3350, 0.3100], [0.9751, 0.6650, 0.3100], [0.2577, 0.2577, 0.0000], [0.2701, 0.5000, 0.7701], [0.7299, 0.5000, 0.2299], [0.7423, 0.7423, 0.0000]]}

---

No. 9
{"formula": "TaCrCd2", "functional": "PBE", "state": "optimized geometry", "rho_g_cm3": 10.808, "polymorph_energy_ev_per_atom": 0.228, "crystal_system": "monoclinic", "lattice_angstrom": [[2.7840, 0.0000, 0.0000], [0.0000, 4.6580, 0.0000], [-0.9677, 0.0000, 5.4235]], "species": ["Ta", "Cr", "Cd", "Cd"], "fractional_positions": [[0.0000, 0.0000, 0.0000], [0.0000, 0.0000, 0.5000], [0.4457, 0.5000, 0.7419], [0.5543, 0.5000, 0.2581]]}

---

No. 10
{"formula": "K3Ba2RhO6", "functional": "PBE", "state": "optimized geometry", "formation_energy_uncorrected_ev_per_atom": -1.537, "rho_g_cm3": 4.437, "crystal_system": "monoclinic", "lattice_angstrom": [[3.1987, -5.5895, 0.0000], [3.1987, 5.5895, 0.0000], [-2.1125, 0.0000, 6.1836]], "species": ["K", "K", "K", "Ba", "Ba", "Rh", "O", "O", "O", "O", "O", "O"], "fractional_positions": [[0.0000, 0.0000, 0.0000], [0.3493, 0.6507, 0.0000], [0.6507, 0.3493, 0.0000], [0.1680, 0.8320, 0.5000], [0.8320, 0.1680, 0.5000], [0.5000, 0.5000, 0.5000], [0.1738, 0.4357, 0.3056], [0.2951, 0.2951, 0.6875], [0.4357, 0.1738, 0.3056], [0.5643, 0.8262, 0.6944], [0.7049, 0.7049, 0.3125], [0.8262, 0.5643, 0.6944]]}

---

No. 11
{"formula": "HfTeAs2Br", "functional": "PBE", "state": "optimized geometry", "formation_energy_uncorrected_ev_per_atom": 0.034, "rho_g_cm3": 6.305, "polymorph_energy_ev_per_atom": 0.000, "crystal_system": "tetragonal", "lattice_angstrom": [[5.2928, 0.0000, 0.0000], [0.0000, 5.2928, 0.0000], [0.0000, 0.0000, 5.0373]], "species": ["Hf", "Te", "As", "As", "Br"], "fractional_positions": [[0.0000, 0.0000, 0.0000], [0.5000, 0.5000, 0.5000], [0.0000, 0.5000, 0.0000], [0.5000, 0.0000, 0.0000], [0.0000, 0.0000, 0.5000]]}

---

No. 12
{"formula": "LaFeSe2", "functional": "PBE", "state": "optimized geometry", "formation_energy_uncorrected_ev_per_atom": -0.866, "rho_g_cm3": 5.831, "polymorph_energy_ev_per_atom": 0.146, "crystal_system": "tetragonal", "lattice_angstrom": [[4.0968, 0.0000, 0.0000], [0.0000, 4.0968, 0.0000], [0.0000, 0.0000, 5.9841]], "species": ["La", "Fe", "Se", "Se"], "fractional_positions": [[0.0000, 0.0000, 0.0000], [0.5000, 0.5000, 0.6177], [0.0000, 0.0000, 0.5177], [0.5000, 0.5000, 0.0471]]}